Entry from Alexandria via LeMat-Bulk: CoNi4Rh2 after structural relaxation (PBE).

Unit cell a=5.0730 b=5.9613 c=6.6226 alpha=79.75 beta=68.90 gamma=76.95
Closest atoms and distances in Å follow each position.
Sites, in units of the cell vectors:
Co 0.0000 0.0000 0.0000  6 Ni 2.35-2.57, 2 Co 2.54-2.55, 1 Rh 2.62
Co 0.4864 0.0145 0.0231  7 Ni 2.38-2.54, 2 Co 2.54-2.55, 2 Rh 2.54-2.56
Ni 0.0340 0.2217 0.2873  3 Ni 2.44-2.65, 4 Rh 2.48-2.52, 2 Co 2.54-2.57
Ni 0.4123 0.7289 0.8490  2 Co 2.35-2.38, 3 Ni 2.37-2.49, 2 Rh 2.43-2.57
Ni 0.4940 0.0899 0.6439  4 Ni 2.37-2.62, 1 Co 2.46, 3 Rh 2.50-2.54
Ni 0.5645 0.2346 0.2581  2 Co 2.39-2.55, 6 Ni 2.42-2.65, 3 Rh 2.51-2.65
Ni 0.7162 0.6283 0.1291  4 Ni 2.43-2.60, 1 Co 2.44, 3 Rh 2.53-2.61
Ni 0.7318 0.3485 0.8695  2 Co 2.42-2.46, 3 Ni 2.42-2.57, 4 Rh 2.47-2.61
Ni 0.8639 0.8419 0.3703  1 Co 2.37, 5 Ni 2.50-2.63, 4 Rh 2.56-2.60
Ni 0.9018 0.7981 0.7550  2 Co 2.42-2.48, 4 Ni 2.43-2.62, 2 Rh 2.52-2.58
Rh 0.1349 0.4609 0.5158  6 Ni 2.50-2.75, 4 Rh 2.52-2.74
Rh 0.1960 0.3899 0.9019  6 Ni 2.43-2.61, 2 Co 2.56-2.62, 1 Rh 2.63
Rh 0.3297 0.8727 0.4267  7 Ni 2.52-2.61, 1 Co 2.54, 2 Rh 2.59-2.74
Rh 0.6283 0.4828 0.5266  7 Ni 2.47-2.65, 4 Rh 2.52-2.73

Computed properties:
Symmetry   P1 (1)
Relative energy among the computed polymorphs   6.2 kJ/mol of atoms
Energy of formation from the pure elements   0.244 eV per atom
Fermi-level density of states   10.7 states/eV/f.u.



Entry from Alexandria via LeMat-Bulk: Co4Ni4Rh after structural relaxation (PBE).

Unit cell a=5.6513 b=5.6513 c=5.6513 alpha=95.66 beta=95.66 gamma=143.41
Closest atoms and distances in Å follow each position.
Sites, in units of the cell vectors:
Co 0.1716 0.1716 0.3433  4 Co 2.44-2.60, 6 Ni 2.49-2.53, 2 Rh 2.56
Co 0.1716 0.8284 0.0000  4 Co 2.44-2.60, 6 Ni 2.49-2.53, 2 Rh 2.56
Co 0.8284 0.1716 0.0000  4 Co 2.44-2.60, 6 Ni 2.49-2.53, 2 Rh 2.56
Co 0.8284 0.8284 0.6567  4 Co 2.44-2.60, 6 Ni 2.49-2.53, 2 Rh 2.56
Ni 0.1650 0.5000 0.6650  6 Co 2.49-2.53, 5 Ni 2.50-2.51, 1 Rh 2.54
Ni 0.5000 0.1650 0.6650  6 Co 2.49-2.53, 5 Ni 2.50-2.51, 1 Rh 2.54
Ni 0.5000 0.8350 0.3350  6 Co 2.49-2.53, 5 Ni 2.50-2.51, 1 Rh 2.54
Ni 0.8350 0.5000 0.3350  6 Co 2.49-2.53, 5 Ni 2.50-2.51, 1 Rh 2.54
Rh 0.5000 0.5000 0.0000  4 Ni 2.54, 8 Co 2.56

Computed properties:
Symmetry   I4/mmm (139)
Relative energy among the computed polymorphs   0.0 kJ/mol of atoms
Energy of formation from the pure elements   0.012 eV per atom
Fermi-level density of states   9.7 states/eV/f.u.



Entry from Alexandria via LeMat-Bulk: CoNiRh3 after structural relaxation (PBE).

Unit cell a=6.5755 b=6.5755 c=8.6487 alpha=121.41 beta=121.41 gamma=67.64
Closest atoms and distances in Å follow each position.
Sites, in units of the cell vectors:
Co 0.0671 0.6593 0.6885  1 Ni 2.46, 2 Co 2.47-2.66, 4 Rh 2.56-2.73
Co 0.3407 0.9329 0.8115  1 Ni 2.46, 2 Co 2.47-2.66, 4 Rh 2.56-2.73
Co 0.6593 0.0671 0.1885  1 Ni 2.46, 2 Co 2.47-2.66, 4 Rh 2.56-2.73
Co 0.9329 0.3407 0.3115  1 Ni 2.46, 2 Co 2.47-2.66, 4 Rh 2.56-2.73
Ni 0.1549 0.8451 0.2500  8 Rh 2.49-2.74, 1 Ni 2.56
Ni 0.4952 0.5048 0.7500  2 Co 2.46, 6 Rh 2.54-2.59, 1 Ni 2.56
Ni 0.5048 0.4952 0.2500  2 Co 2.46, 6 Rh 2.54-2.59, 1 Ni 2.56
Ni 0.8451 0.1549 0.7500  8 Rh 2.49-2.74, 1 Ni 2.56
Rh 0.1457 0.4294 0.9178  3 Ni 2.50-2.74, 7 Rh 2.56-2.78
Rh 0.1672 0.1700 0.0800  1 Ni 2.49, 4 Rh 2.56-2.65, 3 Co 2.60-2.76
Rh 0.1700 0.1672 0.5800  1 Ni 2.49, 4 Rh 2.56-2.65, 3 Co 2.60-2.76
Rh 0.2522 0.5846 0.4356  3 Ni 2.56-2.62, 3 Co 2.56-2.78, 6 Rh 2.60-2.80
Rh 0.4154 0.7478 0.0644  3 Ni 2.56-2.62, 3 Co 2.56-2.78, 6 Rh 2.60-2.80
Rh 0.4294 0.1457 0.4178  3 Ni 2.50-2.74, 7 Rh 2.56-2.78
Rh 0.5706 0.8543 0.5822  3 Ni 2.50-2.74, 7 Rh 2.56-2.78
Rh 0.5846 0.2522 0.9356  3 Ni 2.56-2.62, 3 Co 2.56-2.78, 6 Rh 2.60-2.80
Rh 0.7478 0.4154 0.5644  3 Ni 2.56-2.62, 3 Co 2.56-2.78, 6 Rh 2.60-2.80
Rh 0.8300 0.8328 0.4200  1 Ni 2.49, 4 Rh 2.56-2.65, 3 Co 2.60-2.76
Rh 0.8328 0.8300 0.9200  1 Ni 2.49, 4 Rh 2.56-2.65, 3 Co 2.60-2.76
Rh 0.8543 0.5706 0.0822  3 Ni 2.50-2.74, 7 Rh 2.56-2.78

Computed properties:
Symmetry   C2/c (15)
Relative energy among the computed polymorphs   0.0 kJ/mol of atoms
Energy of formation from the pure elements   0.171 eV per atom
Fermi-level density of states   8.2 states/eV/f.u.



Entry from Alexandria via LeMat-Bulk: Co2Ni8Rh3 after structural relaxation (PBE).

Unit cell a=5.8146 b=3.6443 c=7.7137 alpha=90.00 beta=101.33 gamma=90.00
Closest atoms and distances in Å follow each position.
Sites, in units of the cell vectors:
Co 0.1962 0.0000 0.0746  1 Co 2.34, 9 Ni 2.38-2.55
Co 0.8038 0.0000 0.9254  1 Co 2.34, 9 Ni 2.38-2.55
Ni 0.0652 0.0000 0.3493  1 Co 2.39, 6 Ni 2.53-2.66, 5 Rh 2.57-2.59
Ni 0.0882 0.5000 0.8699  4 Co 2.41-2.55, 6 Ni 2.43-2.57, 1 Rh 2.48
Ni 0.3454 0.5000 0.2622  2 Co 2.38, 5 Ni 2.53-2.62, 3 Rh 2.58-2.62
Ni 0.3802 0.0000 0.8202  2 Co 2.41-2.44, 5 Ni 2.57-2.66, 3 Rh 2.62-2.69
Ni 0.6198 0.0000 0.1798  2 Co 2.41-2.44, 5 Ni 2.57-2.66, 3 Rh 2.62-2.69
Ni 0.6546 0.5000 0.7378  2 Co 2.38, 5 Ni 2.53-2.62, 3 Rh 2.58-2.62
Ni 0.9118 0.5000 0.1301  4 Co 2.41-2.55, 6 Ni 2.43-2.57, 1 Rh 2.48
Ni 0.9348 0.0000 0.6507  1 Co 2.39, 6 Ni 2.53-2.66, 5 Rh 2.57-2.59
Rh 0.2196 0.5000 0.5827  9 Ni 2.48-2.71, 3 Rh 2.61-2.62
Rh 0.5000 0.0000 0.5000  8 Ni 2.57-2.69, 4 Rh 2.61
Rh 0.7804 0.5000 0.4173  9 Ni 2.48-2.71, 3 Rh 2.61-2.62

Computed properties:
Symmetry   P2/m (10)
Energy of formation from the pure elements   0.148 eV per atom
Fermi-level density of states   18.2 states/eV/f.u.



Entry from Alexandria via LeMat-Bulk: Co8Ni2Rh after structural relaxation (PBE).

Unit cell a=6.9593 b=6.9593 c=6.9593 alpha=144.58 beta=138.25 gamma=55.88
Closest atoms and distances in Å follow each position.
Sites, in units of the cell vectors:
Co 0.0965 0.3658 0.7306  6 Co 2.29-2.55, 1 Ni 2.51
Co 0.2039 0.2039 0.0000  6 Co 2.40-2.55, 4 Ni 2.49-2.52, 1 Rh 2.51
Co 0.3648 0.6342 0.7306  6 Co 2.29-2.55, 1 Ni 2.51
Co 0.5000 0.2455 0.7455  2 Co 2.08-2.16
Co 0.5000 0.7545 0.2545  2 Co 2.08-2.16
Co 0.6352 0.3658 0.2694  6 Co 2.29-2.55, 1 Ni 2.51
Co 0.7961 0.7961 0.0000  6 Co 2.40-2.55, 4 Ni 2.49-2.52, 1 Rh 2.51
Co 0.9035 0.6342 0.2694  6 Co 2.29-2.55, 1 Ni 2.51
Ni 0.3156 0.8156 0.5000  12 Co 2.49-2.58
Ni 0.6844 0.1844 0.5000  12 Co 2.49-2.58
Rh 0.0000 0.0000 0.0000  6 Co 2.51-2.69

Computed properties:
Symmetry   Immm (71)
Relative energy among the computed polymorphs   0.0 kJ/mol of atoms
Energy of formation from the pure elements   0.180 eV per atom
Fermi-level density of states   9.9 states/eV/f.u.



Entry from Alexandria via LeMat-Bulk: CoNi6Rh after structural relaxation (PBE).

Unit cell a=7.1418 b=4.7787 c=6.3945 alpha=90.00 beta=108.66 gamma=90.00
Closest atoms and distances in Å follow each position.
Sites, in units of the cell vectors:
Co 0.0000 0.0000 0.0000  6 Ni 2.32-2.49
Co 0.5000 0.5000 0.0000  6 Ni 2.32-2.49
Ni 0.1368 0.5000 0.9310  7 Ni 2.39-2.63, 3 Co 2.49-2.67, 1 Rh 2.61
Ni 0.1978 0.2579 0.2964  5 Ni 2.31-2.52, 1 Co 2.32, 2 Rh 2.46-2.49
Ni 0.1978 0.7421 0.2964  5 Ni 2.31-2.52, 1 Co 2.32, 2 Rh 2.46-2.49
Ni 0.3022 0.2421 0.7036  5 Ni 2.31-2.52, 1 Co 2.32, 2 Rh 2.46-2.49
Ni 0.3022 0.7579 0.7036  5 Ni 2.31-2.52, 1 Co 2.32, 2 Rh 2.46-2.49
Ni 0.3632 0.0000 0.0690  7 Ni 2.39-2.63, 3 Co 2.49-2.67, 1 Rh 2.61
Ni 0.6368 0.0000 0.9310  7 Ni 2.39-2.63, 3 Co 2.49-2.67, 1 Rh 2.61
Ni 0.6978 0.2421 0.2964  5 Ni 2.31-2.52, 1 Co 2.32, 2 Rh 2.46-2.49
Ni 0.6978 0.7579 0.2964  5 Ni 2.31-2.52, 1 Co 2.32, 2 Rh 2.46-2.49
Ni 0.8022 0.2579 0.7036  5 Ni 2.31-2.52, 1 Co 2.32, 2 Rh 2.46-2.49
Ni 0.8022 0.7421 0.7036  5 Ni 2.31-2.52, 1 Co 2.32, 2 Rh 2.46-2.49
Ni 0.8632 0.5000 0.0690  7 Ni 2.39-2.63, 3 Co 2.49-2.67, 1 Rh 2.61
Rh 0.0000 0.5000 0.5000  10 Ni 2.46-2.61
Rh 0.5000 0.0000 0.5000  10 Ni 2.46-2.61

Computed properties:
Symmetry   C2/m (12)
Relative energy among the computed polymorphs   28.1 kJ/mol of atoms
Energy of formation from the pure elements   0.318 eV per atom
Fermi-level density of states   12.1 states/eV/f.u.



Entry from Alexandria via LeMat-Bulk: Co4Ni2Rh3 after structural relaxation (PBE).

Unit cell a=5.7276 b=5.7276 c=5.8503 alpha=107.50 beta=107.50 gamma=37.34
Closest atoms and distances in Å follow each position.
Sites, in units of the cell vectors:
Co 0.1157 0.1157 0.1731  4 Co 2.45-2.68, 3 Ni 2.52-2.63, 5 Rh 2.60-2.61
Co 0.3250 0.3250 0.4961  5 Co 2.45-2.59, 3 Ni 2.52-2.58, 4 Rh 2.63-2.67
Co 0.6750 0.6750 0.5039  5 Co 2.45-2.59, 3 Ni 2.52-2.58, 4 Rh 2.63-2.67
Co 0.8843 0.8843 0.8269  4 Co 2.45-2.68, 3 Ni 2.52-2.63, 5 Rh 2.60-2.61
Ni 0.2255 0.2255 0.8319  6 Co 2.52-2.63, 4 Rh 2.53-2.60, 2 Ni 2.62
Ni 0.7745 0.7745 0.1681  6 Co 2.52-2.63, 4 Rh 2.53-2.60, 2 Ni 2.62
Rh 0.0000 0.0000 0.5000  2 Ni 2.60, 6 Co 2.60-2.63, 4 Rh 2.62
Rh 0.4426 0.4426 0.1629  3 Ni 2.53-2.59, 3 Rh 2.59-2.62, 6 Co 2.61-2.67
Rh 0.5574 0.5574 0.8371  3 Ni 2.53-2.59, 3 Rh 2.59-2.62, 6 Co 2.61-2.67

Computed properties:
Symmetry   C2/m (12)
Relative energy among the computed polymorphs   0.0 kJ/mol of atoms
Energy of formation from the pure elements   0.048 eV per atom
Fermi-level density of states   13.2 states/eV/f.u.



Entry from Alexandria via LeMat-Bulk: Co3Ni2Rh2 after structural relaxation (PBE).

Unit cell a=11.0104 b=2.6104 c=6.2973 alpha=90.00 beta=110.71 gamma=90.00
Closest atoms and distances in Å follow each position.
Sites, in units of the cell vectors:
Co 0.0000 0.0000 0.0000  4 Ni 2.53, 6 Co 2.54-2.61, 2 Rh 2.56
Co 0.2115 0.5000 0.1316  3 Ni 2.44-2.53, 6 Co 2.48-2.61, 3 Rh 2.61-2.70
Co 0.2885 0.0000 0.8684  3 Ni 2.44-2.53, 6 Co 2.48-2.61, 3 Rh 2.61-2.70
Co 0.5000 0.5000 0.0000  4 Ni 2.53, 6 Co 2.54-2.61, 2 Rh 2.56
Co 0.7115 0.0000 0.1316  3 Ni 2.44-2.53, 6 Co 2.48-2.61, 3 Rh 2.61-2.70
Co 0.7885 0.5000 0.8684  3 Ni 2.44-2.53, 6 Co 2.48-2.61, 3 Rh 2.61-2.70
Ni 0.0785 0.5000 0.7295  5 Co 2.44-2.53, 4 Rh 2.58-2.59, 2 Ni 2.61
Ni 0.4215 0.0000 0.2705  5 Co 2.44-2.53, 4 Rh 2.58-2.59, 2 Ni 2.61
Ni 0.5785 0.0000 0.7295  5 Co 2.44-2.53, 4 Rh 2.58-2.59, 2 Ni 2.61
Ni 0.9215 0.5000 0.2705  5 Co 2.44-2.53, 4 Rh 2.58-2.59, 2 Ni 2.61
Rh 0.1376 0.0000 0.4244  4 Co 2.56-2.70, 4 Ni 2.58-2.59, 4 Rh 2.61-2.66
Rh 0.3624 0.5000 0.5756  4 Co 2.56-2.70, 4 Ni 2.58-2.59, 4 Rh 2.61-2.66
Rh 0.6376 0.5000 0.4244  4 Co 2.56-2.70, 4 Ni 2.58-2.59, 4 Rh 2.61-2.66
Rh 0.8624 0.0000 0.5756  4 Co 2.56-2.70, 4 Ni 2.58-2.59, 4 Rh 2.61-2.66

Computed properties:
Symmetry   C2/m (12)
Relative energy among the computed polymorphs   1.6 kJ/mol of atoms
Energy of formation from the pure elements   0.047 eV per atom
Fermi-level density of states   9.5 states/eV/f.u.